The following is a DFT calculation (PBE) of an optimized crystal structure of GaCu2Pd6.

Cell lengths 4.1358, 5.8522, 12.3434 Å; angles 90.00, 90.00, 90.00 degrees
Closest atoms and distances in Å follow each position.
Space group Immm (No. 71)
Unique sites:
Ga 0.0000 0.0000 0.0000 [2 per cell]  8 Pd 2.52-2.53
Cu 0.0000 0.0000 0.3333 [4 per cell]  8 Pd 2.53
Pd 0.0000 0.2497 0.1659 [8 per cell]  1 Ga 2.52, 3 Cu 2.53
Pd 0.0000 0.2519 0.5000 [4 per cell]  2 Ga 2.53, 2 Cu 2.53

Results
Relative energy among the computed polymorphs (eV per formula unit): 2.35
Crystal system: orthorhombic

---

The following is a DFT calculation (PBE) of an optimized crystal structure of Ga5CuPd.

Cell lengths 7.0275, 7.0509, 9.7615 Å; angles 90.00, 90.84, 90.00 degrees
Closest atoms and distances in Å follow each position.
Space group C2/c (No. 15)
Unique sites:
Ga 0.0000 0.1287 0.2500 [4 per cell]  1 Cu 2.57, 2 Pd 2.60, 2 Ga 2.64
Ga 0.1461 0.3901 0.0309 [8 per cell]  1 Cu 2.49, 2 Ga 2.53-2.64, 1 Pd 2.63
Ga 0.1779 0.2231 0.6577 [8 per cell]  1 Pd 2.52, 1 Cu 2.54, 1 Ga 2.64
Cu 0.0000 0.4926 0.2500 [4 per cell]  5 Ga 2.49-2.57
Pd 0.0000 0.0000 0.0000 [4 per cell]  6 Ga 2.52-2.63

Results
Crystal system: monoclinic

---

| no. | E_tot (eV for the cell shown) | size of the total moment (μB per cell) | energy relative to the elements (eV/atom) |
| --- | --- | --- | --- |
| 1 | -85.2 | 0.0 | -0.0253 |
| 2 | -102.1 | 0.0 | -0.1575 |